Below is an optimized crystal structure of LaSiPb2, with properties calculated at the PBE-GGA level.

POSCAR file:
```
LaSiPb2
1.0
0.000 3.848 3.848
3.848 0.000 3.848
3.848 3.848 0.000
La Si Pb
1 1 2
direct
0.000 0.000 0.000
0.750 0.750 0.750
0.250 0.250 0.250
0.500 0.500 0.500
```

Below is an optimized crystal structure of LaSi2Pb, with properties calculated at the PBE-GGA level.

POSCAR file:
```
LaSi2Pb
1.0
-3.951 3.951 3.328
3.951 -3.951 3.328
3.951 3.951 -3.328
La Si Pb
2 4 2
direct
0.000 0.000 0.000
0.750 0.250 0.500
0.150 0.625 0.025
0.375 0.400 0.525
0.600 0.125 0.975
0.875 0.850 0.475
0.250 0.750 0.500
0.500 0.500 0.000
```

Below is an optimized crystal structure of La2Si2Pb, with properties calculated at the PBE-GGA level.

POSCAR file:
```
La2Si2Pb
1.0
1.960 -7.506 0.000
1.960 7.506 0.000
0.000 0.000 4.455
La Si Pb
2 2 1
direct
0.136 0.864 0.000
0.864 0.136 0.000
0.295 0.705 0.500
0.705 0.295 0.500
0.500 0.500 0.500
```

Below is an optimized crystal structure of LaSiPb2, with properties calculated at the PBE-GGA level.

POSCAR file:
```
LaSiPb2
1.0
2.088 1.205 8.479
-2.088 1.205 8.479
0.000 -2.411 8.479
La Si Pb
1 1 2
direct
0.000 0.000 0.000
0.267 0.267 0.267
0.542 0.542 0.542
0.771 0.771 0.771
```

Below is an optimized crystal structure of LaSi2Pb, with properties calculated at the PBE-GGA level.

POSCAR file:
```
LaSi2Pb
1.0
3.976 0.000 0.000
0.000 4.464 0.000
-0.014 0.000 6.107
La Si Pb
1 2 1
direct
0.000 0.000 0.000
0.499 0.500 0.814
0.501 0.500 0.186
0.500 0.000 0.500
```

Below is an optimized crystal structure of La6SiPb2, with properties calculated at the PBE-GGA level.

POSCAR file:
```
La6SiPb2
1.0
4.494 0.000 0.000
0.000 7.414 4.381
0.000 -7.414 4.381
La Si Pb
6 1 2
direct
0.000 0.000 0.000
0.000 0.486 0.694
0.000 0.694 0.486
0.500 0.122 0.729
0.500 0.273 0.273
0.500 0.729 0.122
0.500 0.763 0.763
0.000 0.041 0.405
0.000 0.405 0.041
```

Below is an optimized crystal structure of La3Si2Pb2, with properties calculated at the PBE-GGA level.

POSCAR file:
```
La3Si2Pb2
1.0
5.918 -2.227 0.000
5.918 2.227 0.000
-3.899 0.000 7.587
La Si Pb
3 2 2
direct
0.000 0.000 0.000
0.180 0.180 0.659
0.820 0.820 0.341
0.290 0.290 0.064
0.710 0.710 0.936
0.458 0.458 0.675
0.542 0.542 0.325
```

Below is an optimized crystal structure of La3SiPb, with properties calculated at the PBE-GGA level.

Output
**Energy above the most stable polymorph in this dataset**: 0.000 eV/atom

POSCAR file:
```
La3SiPb
1.0
5.905 0.000 0.000
-2.929 6.859 0.000
-2.940 -2.579 8.228
La Si Pb
6 2 2
direct
0.006 0.156 0.351
0.230 0.851 0.105
0.359 0.476 0.742
0.641 0.524 0.258
0.770 0.149 0.895
0.994 0.844 0.649
0.320 0.191 0.955
0.680 0.809 0.045
0.340 0.729 0.454
0.660 0.271 0.546
```

Below is an optimized crystal structure of La3SiPb, with properties calculated at the PBE-GGA level.

Output
**Energy above the most stable polymorph in this dataset**: 0.094 eV/atom

POSCAR file:
```
La3SiPb
1.0
5.677 0.000 0.000
0.000 5.677 0.000
0.000 0.000 5.677
La Si Pb
3 1 1
direct
0.000 0.000 0.500
0.000 0.500 0.000
0.500 0.000 0.000
0.000 0.000 0.000
0.500 0.500 0.500
```

Below is an optimized crystal structure of LaSiPb2, with properties calculated at the PBE-GGA level.

POSCAR file:
```
LaSiPb2
1.0
-2.128 2.580 5.080
2.128 -2.580 5.080
2.128 2.580 -5.080
La Si Pb
1 1 2
direct
0.000 0.000 0.000
0.767 0.267 0.500
0.271 0.771 0.500
0.568 0.568 0.000
```

Below is an optimized crystal structure of LaSi2Pb, with properties calculated at the PBE-GGA level.

POSCAR file:
```
LaSi2Pb
1.0
2.406 1.389 5.025
-2.406 1.389 5.025
0.000 -2.779 5.025
La Si Pb
1 2 1
direct
0.000 0.000 0.000
0.214 0.214 0.214
0.786 0.786 0.786
0.500 0.500 0.500
```

Below is an optimized crystal structure of LaSi2Pb, with properties calculated at the PBE-GGA level.

POSCAR file:
```
LaSi2Pb
1.0
2.256 1.303 5.665
-2.256 1.303 5.665
0.000 -2.605 5.665
La Si Pb
1 2 1
direct
0.000 0.000 0.000
0.222 0.222 0.222
0.564 0.564 0.564
0.802 0.802 0.802
```

no.,E_form (uncorrected) (eV/atom)
1,-0.04
2,0.07
3,-0.70
4,-0.07
5,-0.12
6,-0.51
7,-0.60
8,-0.48
9,-0.38
10,-0.19
11,-0.04
12,-0.13